No. 1
A relaxed structure of NaSr2SmTe4. Source: the Alexandria database, functional PBE.

POSCAR file:
```
NaSr2SmTe4
1.0
7.974 0.000 0.000
0.000 4.641 0.000
-2.592 0.000 7.613
Na Sr Sm Te
1 2 1 4
direct
0.000 0.000 0.000
0.500 0.000 0.500
0.500 0.500 0.000
0.000 0.500 0.500
0.234 0.000 0.740
0.239 0.500 0.255
0.761 0.500 0.745
0.766 0.000 0.260
```

Properties
The formation energy (no corrections) is -1.5012 eV/atom. The value obtained for the electronic total energy is -4.2473 eV per atom. The calculation puts the total magnetization at 0.00 μB per formula unit.

=====

No. 2
A relaxed structure of NaSr3Sm2Te6. Source: the Alexandria database, functional PBE.

POSCAR file:
```
NaSr3Sm2Te6
1.0
3.993 -6.913 0.000
3.993 6.913 0.000
-2.658 0.000 7.542
Na Sr Sm Te
1 3 2 6
direct
0.000 0.000 0.000
0.164 0.836 0.500
0.500 0.500 0.500
0.836 0.164 0.500
0.333 0.667 0.000
0.667 0.333 0.000
0.079 0.418 0.237
0.261 0.261 0.765
0.418 0.079 0.237
0.582 0.921 0.763
0.739 0.739 0.235
0.921 0.582 0.763
```

Properties
The formation energy (no corrections) is -1.5248 eV/atom. The value obtained for the electronic total energy is -4.4126 eV per atom. The calculation puts the total magnetization at 0.00 μB per formula unit.

=====

No. 3
A relaxed structure of NaTbSm. Source: the Alexandria database, functional PBE.

POSCAR file:
```
NaTbSm
1.0
-1.762 1.762 8.193
1.762 -1.762 8.193
1.762 1.762 -8.193
Na Tb Sm
1 1 1
direct
0.000 0.000 0.000
0.326 0.326 0.000
0.676 0.676 0.000
```

Properties
The value obtained for the electronic total energy is -3.4136 eV per atom. The calculation puts the total magnetization at 0.00 μB per formula unit.

=====

No. 4
A relaxed structure of NaTbSm. Source: the Alexandria database, functional PBE.

POSCAR file:
```
NaTbSm
1.0
10.501 -1.760 0.000
10.501 1.760 0.000
-0.001 0.000 5.621
Na Tb Sm
2 2 2
direct
0.208 0.208 0.249
0.792 0.792 0.751
0.041 0.041 0.250
0.959 0.959 0.750
0.393 0.393 0.250
0.607 0.607 0.750
```

Properties
The value obtained for the electronic total energy is -3.4310 eV per atom. The calculation puts the total magnetization at 0.00 μB per formula unit.